[1]
{"formula": "Zn4GaPd", "functional": "PBE", "state": "relaxed", "final_energy_ev_per_cell": -28.6, "lattice": [[7.199, 0.000, 0.000], [0.000, 4.593, 0.000], [-0.717, 0.000, 5.654]], "species": ["Zn", "Zn", "Zn", "Zn", "Zn", "Zn", "Zn", "Zn", "Ga", "Ga", "Pd", "Pd"], "fractional_positions": [[0.159, 0.001, 0.395], [0.159, 0.999, 0.895], [0.320, 0.498, 0.789], [0.320, 0.502, 0.289], [0.680, 0.498, 0.711], [0.680, 0.502, 0.211], [0.841, 0.001, 0.105], [0.841, 0.999, 0.605], [0.500, 0.002, 0.250], [0.500, 0.998, 0.750], [0.000, 0.500, 0.000], [0.000, 0.500, 0.500]]}



[2]
{"formula": "Na2HI", "functional": "PBE", "state": "relaxed", "final_energy_ev_per_cell": -20.8, "lattice": [[4.558, 0.000, 0.000], [0.000, 4.558, 0.000], [0.000, 0.000, 9.235]], "species": ["Na", "Na", "Na", "Na", "H", "H", "I", "I"], "fractional_positions": [[0.250, 0.250, 0.175], [0.250, 0.750, 0.500], [0.750, 0.250, 0.500], [0.750, 0.750, 0.825], [0.250, 0.250, 0.425], [0.750, 0.750, 0.575], [0.250, 0.250, 0.822], [0.750, 0.750, 0.178]]}



[3]
{"formula": "Te2MoCl", "functional": "PBE", "state": "relaxed", "raw_formation_energy_ev_per_fu": -0.66, "lattice": [[6.789, 0.000, 0.000], [0.000, 3.234, 0.000], [-3.337, 0.000, 6.156]], "species": ["Te", "Te", "Mo", "Cl"], "fractional_positions": [[0.000, 0.000, 0.000], [0.343, 0.500, 0.643], [0.972, 0.500, 0.286], [0.721, 0.000, 0.309]]}



[4]
{"formula": "GeH2Pt2", "functional": "PBE", "state": "relaxed", "final_energy_ev_per_cell": -46.1, "lattice": [[6.547, 0.000, 0.000], [0.000, 6.547, 0.000], [0.000, 0.000, 2.814]], "species": ["Ge", "Ge", "H", "H", "H", "H", "Pt", "Pt", "Pt", "Pt"], "fractional_positions": [[0.000, 0.000, 0.000], [0.500, 0.500, 0.000], [0.097, 0.403, 0.000], [0.403, 0.903, 0.000], [0.597, 0.097, 0.000], [0.903, 0.597, 0.000], [0.209, 0.291, 0.500], [0.291, 0.791, 0.500], [0.709, 0.209, 0.500], [0.791, 0.709, 0.500]]}



[5]
{"formula": "Pm6Ga2Au", "functional": "PBE", "state": "relaxed", "final_energy_ev_per_cell": -40.4, "lattice": [[8.031, -3.624, 0.000], [8.031, 3.624, 0.000], [-1.578, 0.000, 4.787]], "species": ["Pm", "Pm", "Pm", "Pm", "Pm", "Pm", "Ga", "Ga", "Au"], "fractional_positions": [[0.082, 0.586, 0.334], [0.250, 0.750, 0.000], [0.414, 0.918, 0.666], [0.586, 0.082, 0.334], [0.750, 0.250, 0.000], [0.918, 0.414, 0.666], [0.333, 0.333, 0.833], [0.667, 0.667, 0.167], [0.000, 0.000, 0.500]]}



[6]
{"formula": "Li2AcLa2Ge2", "functional": "PBE", "state": "relaxed", "final_energy_ev_per_cell": -30.5, "lattice": [[2.323, 1.341, 9.547], [-2.323, 1.341, 9.547], [0.000, -2.683, 9.547]], "species": ["Li", "Li", "Ac", "La", "La", "Ge", "Ge"], "fractional_positions": [[0.089, 0.089, 0.089], [0.911, 0.911, 0.911], [0.500, 0.500, 0.500], [0.365, 0.365, 0.365], [0.635, 0.635, 0.635], [0.241, 0.241, 0.241], [0.759, 0.759, 0.759]]}



[7]
{"formula": "BaLi3Al", "functional": "PBE", "state": "relaxed", "final_energy_ev_per_cell": -11.4, "lattice": [[5.205, 0.000, 0.000], [0.000, 5.205, 0.000], [0.000, 0.000, 5.205]], "species": ["Ba", "Li", "Li", "Li", "Al"], "fractional_positions": [[0.000, 0.000, 0.000], [0.000, 0.500, 0.500], [0.500, 0.000, 0.500], [0.500, 0.500, 0.000], [0.500, 0.500, 0.500]]}



[8]
{"formula": "ErGa3Pd", "functional": "PBE", "state": "relaxed", "final_energy_ev_per_cell": -88.0, "lattice": [[8.231, 0.000, 0.000], [0.000, 4.214, 0.000], [0.000, 0.000, 10.775]], "species": ["Er", "Er", "Er", "Er", "Ga", "Ga", "Ga", "Ga", "Ga", "Ga", "Ga", "Ga", "Ga", "Ga", "Ga", "Ga", "Pd", "Pd", "Pd", "Pd"], "fractional_positions": [[0.196, 0.250, 0.013], [0.304, 0.750, 0.513], [0.696, 0.250, 0.487], [0.804, 0.750, 0.987], [0.075, 0.250, 0.597], [0.105, 0.750, 0.819], [0.129, 0.750, 0.207], [0.371, 0.250, 0.707], [0.395, 0.250, 0.319], [0.425, 0.750, 0.097], [0.575, 0.250, 0.903], [0.605, 0.750, 0.681], [0.629, 0.750, 0.293], [0.871, 0.250, 0.793], [0.895, 0.250, 0.181], [0.925, 0.750, 0.403], [0.095, 0.250, 0.356], [0.405, 0.750, 0.856], [0.595, 0.250, 0.144], [0.905, 0.750, 0.644]]}



Number 1: DOS(E_F) 0.28 states/eV/atom. Number 2: DOS(E_F) 0.00 states/eV/atom. Number 3: DOS(E_F) 0.77 states/eV/atom. Number 4: DOS(E_F) 0.28 states/eV/atom. Number 5: DOS(E_F) 1.31 states/eV/atom. Number 6: DOS(E_F) 0.55 states/eV/atom. Number 7: DOS(E_F) 0.08 states/eV/atom. Number 8: DOS(E_F) 0.33 states/eV/atom.